# 1
Entry from the Alexandria database: crystalline ScNiIO2 at its relaxed geometry (PBE+U).

## Properties
calculated density	5.37	g/cm3
energy	-22.3	eV/cell
calculated volume	81	Å³/f.u.
total moment	1.7	μB per formula unit

Cell: 4.050 4.050 4.954 Å, 90.00 90.00 90.00°
Space group P4/mmm (No. 123)
Asymmetric unit:
Sc  0.000  0.000  0.000 x1
Ni  0.500  0.500  0.500 x1
I  0.500  0.500  0.000 x1
O  0.000  0.500  0.500 x2

=====

# 2
Entry from the Alexandria database: crystalline W2OF8 at its relaxed geometry (PBE+U).

## Properties
calculated density	4.61	g/cm3
energy	-124.2	eV/cell
calculated volume	193	Å³/f.u.
total moment	2.0	μB per formula unit

Cell: 6.368 9.202 6.580 Å, 90.00 90.90 90.00°
Space group Cm (No. 8)
Asymmetric unit:
W  0.000  0.000  0.000 x2
W  0.233  0.000  0.471 x2
O  0.121  0.000  0.739 x2
F  0.015  0.210  0.008 x4
F  0.017  0.500  0.565 x2
F  0.210  0.500  0.968 x2
F  0.226  0.203  0.437 x4
F  0.289  0.000  0.153 x2
F  0.442  0.500  0.319 x2